The following is a GGA+U calculation of crystalline MnInMoO2 at its relaxed geometry, from Alexandria via LeMat-Bulk.

As for the space group: P4/mmm, No. 123. The calculation puts the density of states at the Fermi level at 2.35 states/eV/cell. The value obtained for the energy is -4.61 eV per atom.

Cell lengths 4.1658, 4.1658, 5.5937 Å; angles 90.00, 90.00, 90.00 degrees
Closest atoms and distances in Å follow each position.
Fractional positions:
Mn 0.0000 0.0000 0.0000  4 Mo 2.95
In 0.5000 0.5000 0.5000  4 O 2.08
Mo 0.5000 0.5000 0.0000  2 In 2.80, 4 Mn 2.95
O 0.0000 0.5000 0.5000  2 In 2.08
O 0.5000 0.0000 0.5000  2 In 2.08